No. 1
Density functional theory data (PBE) for PuBTe after structural relaxation.

Unit cell a=6.2452 b=6.2452 c=6.2452 alpha=90.00 beta=90.00 gamma=90.00
Space group F-43m (No. 216)
Symmetry-distinct sites (fractional):
1 Pu 0.0000 0.0000 0.0000 (multiplicity 4)
2 B 0.2500 0.2500 0.2500 (multiplicity 4)
3 Te 0.0000 0.0000 0.5000 (multiplicity 4)

Output
- Total energy: -7.771 eV per atom
- E above lowest polymorph: 0.0 meV/atom

=====

No. 2
Density functional theory data (PBE) for NbSiAsO after structural relaxation.

Unit cell a=4.0611 b=4.0611 c=7.7421 alpha=90.00 beta=90.00 gamma=90.00
Space group P4/nmm (No. 129, origin choice 2)
Symmetry-distinct sites (fractional):
1 Nb 0.2500 0.7500 0.0000 (multiplicity 2)
2 Si 0.2500 0.2500 0.4600 (multiplicity 2)
3 As 0.2500 0.2500 0.7864 (multiplicity 2)
4 O 0.2500 0.7500 0.5000 (multiplicity 2)

Output
- Total energy: -6.641 eV per atom
- E above lowest polymorph: 408.1 meV/atom

=====

No. 3
Density functional theory data (PBE) for CuBr after structural relaxation.

Unit cell a=4.5751 b=4.5751 c=4.4798 alpha=90.00 beta=90.00 gamma=120.00
Space group P6/mmm (No. 191)
Symmetry-distinct sites (fractional):
1 Cu 0.0000 0.0000 0.0000 (multiplicity 1)
2 Br 0.0000 0.0000 0.5000 (multiplicity 1)

Output
- Total energy: -2.625 eV per atom

=====

No. 4
Density functional theory data (PBE) for MgUIr after structural relaxation.

Unit cell a=6.4753 b=6.4753 c=6.4753 alpha=90.00 beta=90.00 gamma=90.00
Space group F-43m (No. 216)
Symmetry-distinct sites (fractional):
1 Mg 0.0000 0.0000 0.0000 (multiplicity 4)
2 U 0.0000 0.0000 0.5000 (multiplicity 4)
3 Ir 0.2500 0.2500 0.7500 (multiplicity 4)

Output
- Total energy: -7.297 eV per atom

=====

No. 5
Density functional theory data (PBE) for PuIn2Sb after structural relaxation.

Unit cell a=4.5310 b=4.5310 c=4.9877 alpha=90.00 beta=90.00 gamma=90.00
Space group P4/mmm (No. 123)
Symmetry-distinct sites (fractional):
1 Pu 0.0000 0.0000 0.0000 (multiplicity 1)
2 In 0.0000 0.5000 0.5000 (multiplicity 2)
3 Sb 0.5000 0.5000 0.0000 (multiplicity 1)

Output
- Total energy: -6.331 eV per atom

=====

No. 6
Density functional theory data (PBE) for Na2YTc2 after structural relaxation.

Unit cell a=4.7368 b=4.7368 c=6.1707 alpha=90.00 beta=90.00 gamma=120.00
Space group P-3m1 (No. 164)
Symmetry-distinct sites (fractional):
1 Na 0.3333 0.6667 0.0814 (multiplicity 2)
2 Y 0.0000 0.0000 0.5000 (multiplicity 1)
3 Tc 0.3333 0.6667 0.5436 (multiplicity 2)

Output
- Total energy: -5.287 eV per atom

=====

No. 7
Density functional theory data (PBE) for SmGdTlAg2 after structural relaxation.

Unit cell a=3.5336 b=4.6454 c=14.9912 alpha=90.00 beta=90.00 gamma=90.00
Space group Amm2 (No. 38)
Symmetry-distinct sites (fractional):
1 Sm 0.0000 0.0000 0.0000 (multiplicity 2)
2 Gd 0.0000 0.0000 0.7571 (multiplicity 2)
3 Tl 0.5000 0.0000 0.3785 (multiplicity 2)
4 Ag 0.5000 0.0000 0.1810 (multiplicity 2)
5 Ag 0.5000 0.0000 0.5791 (multiplicity 2)

Output
- Total energy: -3.791 eV per atom

=====

No. 8
Density functional theory data (PBE) for PmZr after structural relaxation.

Unit cell a=5.4576 b=6.9870 c=5.9396 alpha=90.00 beta=90.00 gamma=90.00
Space group Pmm2 (No. 25)
Symmetry-distinct sites (fractional):
1 Pm 0.0000 0.0000 0.0000 (multiplicity 1)
2 Pm 0.0000 0.2704 0.5300 (multiplicity 2)
3 Pm 0.5000 0.0000 0.3686 (multiplicity 1)
4 Zr 0.0000 0.5000 0.0349 (multiplicity 1)
5 Zr 0.5000 0.2846 0.8633 (multiplicity 2)
6 Zr 0.5000 0.5000 0.3266 (multiplicity 1)

Output
- Total energy: -6.518 eV per atom
- E above lowest polymorph: 47.3 meV/atom
- Formation enthalpy at 0 K: 0.128 eV/atom